# 1
A relaxed Pm2InSn3Ir4 crystal. Source: the Alexandria database, functional PBE.

Calculated values
- energy (eV/atom) = -6.473
- formation energy (eV per atom) = -0.504
- total magnetic moment (μB/f.u.) = 0.0

Cell and atoms, written as CIF:
```
data_Pm2InSn3Ir4
_chemical_formula_sum 'Pm2 In1 Sn3 Ir4'
_cell_length_a 4.420
_cell_length_b 4.420
_cell_length_c 11.142
_cell_angle_alpha 90.00
_cell_angle_beta 90.00
_cell_angle_gamma 90.00
_symmetry_space_group_name_H-M 'P -4 m 2'
_symmetry_Int_Tables_number 115
loop_
_symmetry_equiv_pos_as_xyz
'x,y,z'
'y,-x,-z'
'-x,-y,z'
'-y,x,-z'
'-x,y,z'
'-y,-x,-z'
'x,-y,z'
'y,x,-z'
loop_
_atom_site_label
_atom_site_fract_x
_atom_site_fract_y
_atom_site_fract_z
Pm1 0.000 0.500 0.246
In1 0.000 0.000 0.500
Sn1 0.000 0.500 0.870
Sn2 0.500 0.500 0.500
Ir1 0.000 0.000 0.000
Ir2 0.000 0.500 0.639
Ir3 0.500 0.500 0.000
```

# 2
A relaxed TbPmInIr crystal. Source: the Alexandria database, functional PBE.

Calculated values
- energy (eV/atom) = -5.726
- formation energy (eV per atom) = -0.481
- total magnetic moment (μB/f.u.) = 0.0

Cell and atoms, written as CIF:
```
data_TbPmInIr
_chemical_formula_sum 'Tb4 Pm4 In4 Ir4'
_cell_length_a 7.288
_cell_length_b 7.288
_cell_length_c 7.288
_cell_angle_alpha 90.00
_cell_angle_beta 90.00
_cell_angle_gamma 90.00
_symmetry_space_group_name_H-M 'F -4 3 m'
_symmetry_Int_Tables_number 216
_symmetry_space_group_name_Hall 'F -4 2 3'
loop_
_atom_site_label
_atom_site_fract_x
_atom_site_fract_y
_atom_site_fract_z
Tb1 0.000 0.000 0.000
Pm1 0.000 0.000 0.500
In1 0.250 0.250 0.750
Ir1 0.250 0.250 0.250
```

# 3
A relaxed PrIn2Ir crystal. Source: the Alexandria database, functional PBE.

Calculated values
- energy (eV/atom) = -4.546
- formation energy (eV per atom) = 0.234
- total magnetic moment (μB/f.u.) = 0.0

Cell and atoms, written as CIF:
```
data_PrIn2Ir
_chemical_formula_sum 'Pr3 In6 Ir3'
_cell_length_a 3.3250
_cell_length_b 3.3250
_cell_length_c 31.7272
_cell_angle_alpha 90.00
_cell_angle_beta 90.00
_cell_angle_gamma 120.00
_symmetry_space_group_name_H-M 'R -3 m'
_symmetry_Int_Tables_number 166
_symmetry_space_group_name_Hall '-R 3 2"'
loop_
_atom_site_label
_atom_site_fract_x
_atom_site_fract_y
_atom_site_fract_z
Pr1 0.0000 0.0000 0.0000
In1 0.0000 0.0000 0.1033
Ir1 0.0000 0.0000 0.5000
```

# 4
A relaxed Pr2InIr crystal. Source: the Alexandria database, functional PBE.

Calculated values
- energy (eV/atom) = -5.661
- formation energy (eV per atom) = -0.372
- excess energy over the best structure of this formula in the dataset (meV/atom) = 176.8
- total magnetic moment (μB/f.u.) = 0.0

Cell and atoms, written as CIF:
```
data_Pr2InIr
_chemical_formula_sum 'Pr8 In4 Ir4'
_cell_length_a 7.471
_cell_length_b 7.471
_cell_length_c 7.471
_cell_angle_alpha 90.00
_cell_angle_beta 90.00
_cell_angle_gamma 90.00
_symmetry_space_group_name_H-M 'F m -3 m'
_symmetry_Int_Tables_number 225
_symmetry_space_group_name_Hall '-F 4 2 3'
loop_
_atom_site_label
_atom_site_fract_x
_atom_site_fract_y
_atom_site_fract_z
Pr1 0.250 0.250 0.250
In1 0.000 0.000 0.000
Ir1 0.000 0.000 0.500
```

# 5
A relaxed PrIn5Ir crystal. Source: the Alexandria database, functional PBE.

Calculated values
- energy (eV/atom) = -4.297
- formation energy (eV per atom) = -0.392
- total magnetic moment (μB/f.u.) = 0.0

Cell and atoms, written as CIF:
```
data_PrIn5Ir
_chemical_formula_sum 'Pr1 In5 Ir1'
_cell_length_a 4.717
_cell_length_b 4.717
_cell_length_c 7.640
_cell_angle_alpha 90.00
_cell_angle_beta 90.00
_cell_angle_gamma 90.00
_symmetry_space_group_name_H-M 'P 4/m m m'
_symmetry_Int_Tables_number 123
_symmetry_space_group_name_Hall '-P 4 2'
loop_
_atom_site_label
_atom_site_fract_x
_atom_site_fract_y
_atom_site_fract_z
Pr1 0.000 0.000 0.000
In1 0.000 0.500 0.305
In2 0.500 0.500 0.000
Ir1 0.000 0.000 0.500
```

# 6
A relaxed Pr11In9Ir4 crystal. Source: the Alexandria database, functional PBE.

Calculated values
- energy (eV/atom) = -5.278
- formation energy (eV per atom) = -0.583
- total magnetic moment (μB/f.u.) = 0.0

Cell and atoms, written as CIF:
```
data_Pr11In9Ir4
_chemical_formula_sum 'Pr22 In18 Ir8'
_cell_length_a 15.008
_cell_length_b 22.387
_cell_length_c 3.892
_cell_angle_alpha 90.00
_cell_angle_beta 90.00
_cell_angle_gamma 90.00
_symmetry_space_group_name_H-M 'C m m m'
_symmetry_Int_Tables_number 65
_symmetry_space_group_name_Hall '-C 2 2'
loop_
_atom_site_label
_atom_site_fract_x
_atom_site_fract_y
_atom_site_fract_z
Pr1 0.000 0.000 0.000
Pr2 0.000 0.164 0.000
Pr3 0.000 0.375 0.000
Pr4 0.188 0.500 0.000
Pr5 0.247 0.169 0.000
In1 0.000 0.500 0.500
In2 0.103 0.265 0.500
In3 0.148 0.070 0.500
Ir1 0.154 0.399 0.500
```

# 7
A relaxed PrInIr crystal. Source: the Alexandria database, functional PBE.

Calculated values
- energy (eV/atom) = -6.068
- formation energy (eV per atom) = -0.608
- total magnetic moment (μB/f.u.) = 0.0

Cell and atoms, written as CIF:
```
data_PrInIr
_chemical_formula_sum 'Pr6 In6 Ir6'
_cell_length_a 7.555
_cell_length_b 4.264
_cell_length_c 12.949
_cell_angle_alpha 90.00
_cell_angle_beta 91.22
_cell_angle_gamma 90.00
_symmetry_space_group_name_H-M 'P 1 21/m 1'
_symmetry_Int_Tables_number 11
loop_
_symmetry_equiv_pos_as_xyz
'x,y,z'
'-x,-y,-z'
'-x,y+1/2,-z'
'x,-y+1/2,z'
loop_
_atom_site_label
_atom_site_fract_x
_atom_site_fract_y
_atom_site_fract_z
Pr1 0.038 0.250 0.123
Pr2 0.156 0.250 0.419
Pr3 0.454 0.750 0.786
In1 0.124 0.250 0.704
In2 0.358 0.750 0.044
In3 0.495 0.750 0.414
Ir1 0.245 0.750 0.250
Ir2 0.256 0.250 0.917
Ir3 0.256 0.750 0.586
```

# 8
A relaxed PrIn12Ir4 crystal. Source: the Alexandria database, functional PBE.

Calculated values
- energy (eV/atom) = -4.318
- formation energy (eV per atom) = -0.019
- total magnetic moment (μB/f.u.) = 0.0

Cell and atoms, written as CIF:
```
data_PrIn12Ir4
_chemical_formula_sum 'Pr2 In24 Ir8'
_cell_length_a 9.635
_cell_length_b 9.635
_cell_length_c 9.635
_cell_angle_alpha 90.00
_cell_angle_beta 90.00
_cell_angle_gamma 90.00
_symmetry_space_group_name_H-M 'I m -3'
_symmetry_Int_Tables_number 204
_symmetry_space_group_name_Hall '-I 2 2 3'
loop_
_atom_site_label
_atom_site_fract_x
_atom_site_fract_y
_atom_site_fract_z
Pr1 0.000 0.000 0.000
In1 0.000 0.169 0.328
Ir1 0.250 0.250 0.250
```

# 9
A relaxed PrInIr crystal. Source: the Alexandria database, functional PBE.

Calculated values
- energy (eV/atom) = -5.802
- formation energy (eV per atom) = -0.343
- total magnetic moment (μB/f.u.) = 0.0

Cell and atoms, written as CIF:
```
data_PrInIr
_chemical_formula_sum 'Pr2 In2 Ir2'
_cell_length_a 3.433
_cell_length_b 3.433
_cell_length_c 11.751
_cell_angle_alpha 90.00
_cell_angle_beta 90.00
_cell_angle_gamma 90.00
_symmetry_space_group_name_H-M 'I 4 m m'
_symmetry_Int_Tables_number 107
_symmetry_space_group_name_Hall 'I 4 -2'
loop_
_atom_site_label
_atom_site_fract_x
_atom_site_fract_y
_atom_site_fract_z
Pr1 0.000 0.000 0.000
In1 0.000 0.000 0.716
Ir1 0.000 0.000 0.343
```

# 10
A relaxed Pr4InIr2 crystal. Source: the Alexandria database, functional PBE.

Calculated values
- energy (eV/atom) = -6.130
- formation energy (eV per atom) = -0.476
- total magnetic moment (μB/f.u.) = 0.0

Cell and atoms, written as CIF:
```
data_Pr4InIr2
_chemical_formula_sum 'Pr12 In3 Ir6'
_cell_length_a 4.8032
_cell_length_b 4.8032
_cell_length_c 30.7083
_cell_angle_alpha 90.00
_cell_angle_beta 90.00
_cell_angle_gamma 120.00
_symmetry_space_group_name_H-M 'R -3 m'
_symmetry_Int_Tables_number 166
_symmetry_space_group_name_Hall '-R 3 2"'
loop_
_atom_site_label
_atom_site_fract_x
_atom_site_fract_y
_atom_site_fract_z
Pr1 0.0000 0.0000 0.1107
Pr2 0.0000 0.0000 0.2979
In1 0.0000 0.0000 0.5000
Ir1 0.0000 0.0000 0.4030
```